1.
Material: Na2GaAs2
Method: DFT, PBE
State: optimized geometry

Results
For the spin magnetization, the calculation gives 0.00 Bohr magnetons per cell. The calculated formation energy is -0.058 eV per atom. The crystal system is tetragonal. The energy above the lowest structure with this stoichiometry comes out at 310 meV/atom. The density of states at the Fermi level comes out at 3.97 states/eV per cell.

a = 8.864 Å, b = 8.864 Å, c = 2.854 Å
α = 90.00°, β = 90.00°, γ = 90.00°
Space group P4/mbm (No. 127)
Inequivalent atoms, fractional coordinates:
Na 0.123 0.377 0.000 x4
Ga 0.000 0.000 0.000 x2
As 0.175 0.675 0.500 x4



2.
Material: Na3GaAs
Method: DFT, PBE
State: optimized geometry

Results
For the spin magnetization, the calculation gives 0.00 Bohr magnetons per cell. The calculated formation energy is 0.041 eV per atom. The crystal system is cubic. The energy above the lowest structure with this stoichiometry comes out at 222 meV/atom. The density of states at the Fermi level comes out at 4.84 states/eV per cell.

a = 5.524 Å, b = 5.524 Å, c = 5.524 Å
α = 90.00°, β = 90.00°, γ = 90.00°
Space group Pm-3m (No. 221)
Inequivalent atoms, fractional coordinates:
Na 0.000 0.000 0.500 x3
Ga 0.500 0.500 0.500 x1
As 0.000 0.000 0.000 x1



3.
Material: Na2GaAs2
Method: DFT, PBE
State: optimized geometry

Results
For the spin magnetization, the calculation gives 0.00 Bohr magnetons per cell. The calculated formation energy is -0.368 eV per atom. The crystal system is monoclinic. The energy above the lowest structure with this stoichiometry comes out at 0 meV/atom. The density of states at the Fermi level comes out at 1.54 states/eV per cell.

a = 12.898 Å, b = 4.275 Å, c = 10.067 Å
α = 90.00°, β = 120.28°, γ = 90.00°
Space group C2/m (No. 12)
Inequivalent atoms, fractional coordinates:
Na 0.022 0.000 0.176 x4
Na 0.155 0.000 0.586 x4
Ga 0.200 0.500 0.858 x4
As 0.012 0.500 0.382 x4
As 0.169 0.500 0.092 x4